# 1
Material: SiHg3As
Method: DFT, PBE
State: relaxed

Properties
space group = Pm-3m, No. 221
formation energy from raw total energies = 13.19 kcal/mol of atoms
offset from the most stable computed form = 0.00 eV/f.u.

a b c (Å): 5.1464 5.1464 5.1464
angles (deg): 90.00 90.00 90.00
Last column: nearest neighbours and their distance in Å.
Positions (direct):
Hg  0.0000  0.0000  0.5000  2 Si 2.57
Hg  0.0000  0.5000  0.0000  2 Si 2.57
Hg  0.5000  0.0000  0.0000  2 Si 2.57
As  0.5000  0.5000  0.5000  12 Hg 3.64
Si  0.0000  0.0000  0.0000  6 Hg 2.57

=====

# 2
Material: Si2HgAs
Method: DFT, PBE
State: relaxed

Properties
space group = Pmmm, No. 47
formation energy from raw total energies = 14.33 kcal/mol of atoms
offset from the most stable computed form = 1.47 eV/f.u.

a b c (Å): 2.8000 5.2770 5.1987
angles (deg): 90.00 90.00 90.00
Last column: nearest neighbours and their distance in Å.
Positions (direct):
Hg  0.0000  0.5000  0.5000  2 Hg 2.80, 4 Si 2.95, 4 As 2.99
Si  0.5000  0.5000  0.0000  6 Si 2.80-2.99, 4 Hg 2.95
As  0.5000  0.0000  0.5000  2 As 2.80, 4 Si 2.95, 4 Hg 2.99
Si  0.0000  0.0000  0.0000  6 Si 2.80-2.99, 4 As 2.95

=====

# 3
Material: Si2HgAs
Method: DFT, PBE
State: relaxed

Properties
space group = I4/mmm, No. 139
formation energy from raw total energies = 9.50 kcal/mol of atoms
offset from the most stable computed form = 0.64 eV/f.u.

a b c (Å): 4.6518 4.6575 4.6577
angles (deg): 70.59 70.38 109.36
Last column: nearest neighbours and their distance in Å.
Positions (direct):
Si  0.5000  0.0000  0.5000  2 Si 2.68, 2 As 2.69, 2 Hg 2.69
Hg  0.5000  0.5000  0.0000  2 As 2.68, 4 Si 2.69
Si  0.0000  0.0000  0.0000  2 Si 2.68, 2 Hg 2.69, 2 As 2.69
As  0.0000  0.5000  0.5000  2 Hg 2.68, 4 Si 2.69

=====

# 4
Material: Si2HgAs
Method: DFT, PBE
State: relaxed

Properties
space group = Pm, No. 6
formation energy from raw total energies = 6.80 kcal/mol of atoms
offset from the most stable computed form = 0.17 eV/f.u.

a b c (Å): 3.6389 4.5180 5.2027
angles (deg): 71.24 90.00 90.00
Last column: nearest neighbours and their distance in Å.
Positions (direct):
Si  0.5000  0.2481  0.2395  2 Si 2.49, 2 As 2.53
Hg  0.5000  0.7666  0.7563  4 Si 2.82-2.86, 2 As 2.97
Si  0.0000  0.9887  0.0658  1 As 2.44, 2 Si 2.49
As  0.0000  0.4967  0.4385  3 Si 2.44-2.53

=====

# 5
Material: SiHgAs
Method: DFT, PBE
State: relaxed

Properties
space group = Fmm2, No. 42
formation energy from raw total energies = 8.61 kcal/mol of atoms
offset from the most stable computed form = 0.76 eV/f.u.

a b c (Å): 8.5922 8.3975 3.0372
angles (deg): 83.34 76.11 20.55
Last column: nearest neighbours and their distance in Å.
Positions (direct):
Hg  0.3253  0.3253  0.6747  4 Hg 3.04
As  0.0331  0.0331  0.9669  2 Si 2.48
Si  0.6416  0.6416  0.3584  2 As 2.48

=====

# 6
Material: SiHgAs
Method: DFT, PBE
State: relaxed

Properties
space group = P3m1, No. 156
formation energy from raw total energies = 2.77 kcal/mol of atoms
offset from the most stable computed form = 0.00 eV/f.u.

a b c (Å): 3.7244 3.7244 5.5972
angles (deg): 90.00 90.00 120.00
Last column: nearest neighbours and their distance in Å.
Positions (direct):
Si  0.3333  0.6667  0.7166  3 As 2.45
As  0.0000  0.0000  0.9257  3 Si 2.45
Hg  0.6667  0.3333  0.3577  3 Si 2.94, 3 As 3.24